{
  "formula": "Mg5Co4",
  "functional": "PBE",
  "state": "optimized geometry",
  "formation_energy_ev_per_atom": 0.2665,
  "m_tot_mub_per_fu": 3.44,
  "relative_energy_mev_per_atom": 84,
  "total_energy_ev_per_fu": -34.00,
  "lattice": [[-0.849, 3.590, 6.752], [-6.198, -2.138, -4.026], [-0.001, -4.666, 2.480]],
  "species": ["Co", "Mg", "Co", "Mg", "Co", "Co", "Co", "Co", "Mg", "Co", "Mg", "Mg", "Mg", "Mg", "Co", "Mg", "Mg", "Mg"],
  "frac_coords": [[0.361, 0.361, 0.750], [0.333, 0.667, 0.500], [0.000, 0.000, 0.000], [0.333, 0.667, 0.000], [0.639, 0.000, 0.750], [0.000, 0.361, 0.250], [0.361, 0.000, 0.250], [0.000, 0.000, 0.500], [0.000, 0.296, 0.750], [0.639, 0.639, 0.250], [0.704, 0.704, 0.750], [0.667, 0.333, 0.500], [0.667, 0.333, 0.000], [0.000, 0.704, 0.250], [0.000, 0.639, 0.750], [0.704, 0.000, 0.250], [0.296, 0.000, 0.750], [0.296, 0.296, 0.250]]
}